[1]
A relaxed structure of Rb2ScGeS. Source: the Alexandria database, functional GGA-PBE.

As for the final energy: -17.87 eV/cell. The calculation puts the mass density at 2793 kg/m³. The density of states at the Fermi level is 1.8 states/eV per cell.

It has space group P4/mmm (No. 123), with a = 6.267 Å, b = 6.267 Å, c = 4.853 Å, α = 90.00°, β = 90.00° and γ = 90.00°. The distinct sites, in fractional coordinates, are Rb at (0.000, 0.500, 0.000), Sc at (0.000, 0.000, 0.500), Ge at (0.500, 0.500, 0.500) and S at (0.000, 0.000, 0.000).



[2]
A relaxed structure of La4YEr7. Source: the Alexandria database, functional GGA-PBE.

As for the final energy: -109.71 eV/cell. The calculation puts the mass density at 7318 kg/m³. The density of states at the Fermi level is 41.2 states/eV per cell.

It has space group C2/m (No. 12), with a = 12.147 Å, b = 5.926 Å, c = 12.832 Å, α = 90.00°, β = 116.88° and γ = 90.00°. The distinct sites, in fractional coordinates, are La at (0.085, 0.000, 0.296), La at (0.141, 0.500, 0.776), Y at (0.000, 0.500, 0.000), Er at (0.000, 0.000, 0.000), Er at (0.131, 0.500, 0.488), Er at (0.173, 0.000, 0.635) and Er at (0.211, 0.000, 0.920).



[3]
A relaxed structure of BeCuPt2. Source: the Alexandria database, functional GGA-PBE.

As for the final energy: -21.31 eV/cell. The calculation puts the mass density at 15030 kg/m³. The density of states at the Fermi level is 1.1 states/eV per cell.

It has space group P4mm (No. 99), with a = 2.804 Å, b = 2.804 Å, c = 6.504 Å, α = 90.00°, β = 90.00° and γ = 90.00°. The distinct sites, in fractional coordinates, are Be at (0.000, 0.000, 0.000), Cu at (0.500, 0.500, 0.208), Pt at (0.000, 0.000, 0.474) and Pt at (0.500, 0.500, 0.799).



[4]
A relaxed structure of LiLaW. Source: the Alexandria database, functional GGA-PBE.

The calculation puts the offset from the most stable computed form at 562 meV/atom. As for the final energy: -64.48 eV/cell. The calculation puts the mass density at 7371 kg/m³. The density of states at the Fermi level is 5.0 states/eV per cell.

It has space group F-43m (No. 216), with a = 6.673 Å, b = 6.673 Å, c = 6.673 Å, α = 90.00°, β = 90.00° and γ = 90.00°. The distinct sites, in fractional coordinates, are Li at (0.000, 0.000, 0.000), La at (0.000, 0.000, 0.500) and W at (0.250, 0.250, 0.250).



[5]
A relaxed structure of Ac2Zn6PdPt. Source: the Alexandria database, functional GGA-PBE.

As for the final energy: -61.46 eV/cell. The calculation puts the mass density at 8295 kg/m³. The density of states at the Fermi level is 16.6 states/eV per cell.

It has space group Immm (No. 71), with a = 6.863 Å, b = 6.888 Å, c = 9.723 Å, α = 90.00°, β = 90.00° and γ = 90.00°. The distinct sites, in fractional coordinates, are Ac at (0.000, 0.000, 0.250), Zn at (0.000, 0.500, 0.249), Zn at (0.249, 0.251, 0.000), Pd at (0.000, 0.500, 0.000) and Pt at (0.000, 0.500, 0.500).



[6]
A relaxed structure of CaSb2Br. Source: the Alexandria database, functional GGA-PBE.

The calculation puts the offset from the most stable computed form at 197 meV/atom. As for the final energy: -28.95 eV/cell. The calculation puts the mass density at 4696 kg/m³. The density of states at the Fermi level is 2.8 states/eV per cell.

It has space group Imm2 (No. 44), with a = 4.256 Å, b = 6.683 Å, c = 9.040 Å, α = 90.00°, β = 90.00° and γ = 90.00°. The distinct sites, in fractional coordinates, are Ca at (0.000, 0.000, 0.000), Sb at (0.000, 0.000, 0.505), Sb at (0.000, 0.500, 0.798) and Br at (0.000, 0.500, 0.293).



[7]
A relaxed structure of Tb2ZrScSb4. Source: the Alexandria database, functional GGA-PBE.

As for the final energy: -48.29 eV/cell. The calculation puts the mass density at 7099 kg/m³. The density of states at the Fermi level is 1.6 states/eV per cell.

It has space group P2/m (No. 10), with a = 7.386 Å, b = 4.267 Å, c = 7.403 Å, α = 90.00°, β = 109.35° and γ = 90.00°. The distinct sites, in fractional coordinates, are Tb at (0.000, 0.000, 0.000), Tb at (0.500, 0.500, 0.000), Zr at (0.000, 0.500, 0.500), Sc at (0.500, 0.000, 0.500), Sb at (0.246, 0.000, 0.735) and Sb at (0.256, 0.500, 0.266).



[8]
A relaxed structure of TmGa2Rh. Source: the Alexandria database, functional GGA-PBE.

As for the final energy: -20.21 eV/cell. The calculation puts the mass density at 9556 kg/m³. The density of states at the Fermi level is 1.9 states/eV per cell.

It has space group P4/mmm (No. 123), with a = 3.992 Å, b = 3.992 Å, c = 4.484 Å, α = 90.00°, β = 90.00° and γ = 90.00°. The distinct sites, in fractional coordinates, are Tm at (0.000, 0.000, 0.000), Ga at (0.000, 0.500, 0.500) and Rh at (0.500, 0.500, 0.000).



[9]
A relaxed structure of FeIrPb. Source: the Alexandria database, functional GGA-PBE.

The calculation puts the offset from the most stable computed form at 79 meV/atom. As for the final energy: -39.45 eV/cell. The calculation puts the mass density at 13668 kg/m³. The density of states at the Fermi level is 6.2 states/eV per cell.

It has space group I4mm (No. 107), with a = 3.131 Å, b = 3.131 Å, c = 11.288 Å, α = 90.00°, β = 90.00° and γ = 90.00°. The distinct sites, in fractional coordinates, are Fe at (0.000, 0.000, 0.000), Ir at (0.000, 0.000, 0.613) and Pb at (0.000, 0.000, 0.303).



[10]
A relaxed structure of LaP2Se. Source: the Alexandria database, functional GGA-PBE.

As for the final energy: -65.79 eV/cell. The calculation puts the mass density at 4514 kg/m³. The density of states at the Fermi level is 4.5 states/eV per cell.

It has space group R3m (No. 160, hexagonal axes), with a = 4.0728 Å, b = 4.0728 Å, c = 21.4954 Å, α = 90.00°, β = 90.00° and γ = 120.00°. The distinct sites, in fractional coordinates, are La at (0.0000, 0.0000, 0.0000), P at (0.0000, 0.0000, 0.2399), P at (0.0000, 0.0000, 0.5407) and Se at (0.0000, 0.0000, 0.7448).



[11]
A relaxed structure of CsCdHg5. Source: the Alexandria database, functional GGA-PBE.

The calculation puts the offset from the most stable computed form at 33 meV/atom. As for the final energy: -7.41 eV/cell. The calculation puts the mass density at 7327 kg/m³. The density of states at the Fermi level is 5.9 states/eV per cell.

It has space group Imm2 (No. 44), with a = 7.566 Å, b = 7.877 Å, c = 9.494 Å, α = 90.00°, β = 90.00° and γ = 90.00°. The distinct sites, in fractional coordinates, are Cs at (0.000, 0.000, 0.000), Cd at (0.000, 0.500, 0.234), Hg at (0.000, 0.245, 0.454), Hg at (0.000, 0.500, 0.692) and Hg at (0.204, 0.500, 0.970).



[12]
A relaxed structure of NaSmIn. Source: the Alexandria database, functional GGA-PBE.

The calculation puts the offset from the most stable computed form at 276 meV/atom. As for the final energy: -50.10 eV/cell. The calculation puts the mass density at 4884 kg/m³. The density of states at the Fermi level is 12.9 states/eV per cell.

It has space group R-3m (No. 166, hexagonal axes), with a = 5.0671 Å, b = 5.0671 Å, c = 26.4374 Å, α = 90.00°, β = 90.00° and γ = 120.00°. The distinct sites, in fractional coordinates, are Na at (0.0000, 0.0000, 0.1684), Sm at (0.0000, 0.0000, 0.4182) and In at (0.0000, 0.0000, 0.3011).



[13]
A relaxed structure of Ce5ThPb5. Source: the Alexandria database, functional GGA-PBE.

As for the final energy: -114.56 eV/cell. The calculation puts the mass density at 8219 kg/m³. The density of states at the Fermi level is 62.7 states/eV per cell.

It has space group C2/m (No. 12), with a = 14.358 Å, b = 6.436 Å, c = 9.059 Å, α = 90.00°, β = 108.18° and γ = 90.00°. The distinct sites, in fractional coordinates, are Ce at (0.000, 0.000, 0.000), Ce at (0.164, 0.500, 0.834), Ce at (0.168, 0.500, 0.335), Th at (0.000, 0.000, 0.500), Pb at (0.000, 0.500, 0.500), Pb at (0.167, 0.000, 0.838) and Pb at (0.168, 0.000, 0.328).



[14]
A relaxed structure of Cd2CuAg. Source: the Alexandria database, functional GGA-PBE.

As for the final energy: -8.66 eV/cell. The calculation puts the mass density at 9014 kg/m³. The density of states at the Fermi level is 0.5 states/eV per cell.

It has space group P4mm (No. 99), with a = 3.292 Å, b = 3.292 Å, c = 6.736 Å, α = 90.00°, β = 90.00° and γ = 90.00°. The distinct sites, in fractional coordinates, are Cd at (0.000, 0.000, 0.000), Cd at (0.500, 0.500, 0.301), Cu at (0.000, 0.000, 0.529) and Ag at (0.500, 0.500, 0.738).



[15]
A relaxed structure of Nd3Al9Pt2. Source: the Alexandria database, functional GGA-PBE.

As for the final energy: -139.78 eV/cell. The calculation puts the mass density at 6374 kg/m³. The density of states at the Fermi level is 12.4 states/eV per cell.

It has space group Immm (No. 71), with a = 4.333 Å, b = 10.202 Å, c = 12.562 Å, α = 90.00°, β = 90.00° and γ = 90.00°. The distinct sites, in fractional coordinates, are Nd at (0.000, 0.000, 0.000), Nd at (0.000, 0.000, 0.315), Al at (0.000, 0.280, 0.123), Al at (0.000, 0.368, 0.336), Al at (0.000, 0.500, 0.000) and Pt at (0.000, 0.220, 0.500).



[16]
A relaxed structure of BaBiB2O6. Source: the Alexandria database, functional GGA-PBE.

As for the final energy: -282.09 eV/cell. The calculation puts the mass density at 5189 kg/m³. The density of states at the Fermi level is 8.5 states/eV per cell.

It has space group C2/c (No. 15), with a = 9.096 Å, b = 9.946 Å, c = 7.016 Å, α = 90.00°, β = 110.68° and γ = 90.00°. The distinct sites, in fractional coordinates, are Ba at (0.000, 0.114, 0.250), Bi at (0.000, 0.332, 0.750), B at (0.220, 0.402, 0.224), O at (0.100, 0.327, 0.097), O at (0.129, 0.148, 0.676) and O at (0.211, 0.464, 0.777).



[17]
A relaxed structure of TlZn2Cu2. Source: the Alexandria database, functional GGA-PBE.

The calculation puts the offset from the most stable computed form at 22 meV/atom. As for the final energy: -24.76 eV/cell. The calculation puts the mass density at 8892 kg/m³. The density of states at the Fermi level is 4.0 states/eV per cell.

It has space group I4/mmm (No. 139), with a = 3.821 Å, b = 3.821 Å, c = 11.828 Å, α = 90.00°, β = 90.00° and γ = 90.00°. The distinct sites, in fractional coordinates, are Tl at (0.000, 0.000, 0.000), Zn at (0.000, 0.500, 0.250) and Cu at (0.000, 0.000, 0.394).



[18]
A relaxed structure of Ac2CdAg. Source: the Alexandria database, functional GGA-PBE.

The calculation puts the offset from the most stable computed form at 514 meV/atom. As for the final energy: -33.14 eV/cell. The calculation puts the mass density at 7570 kg/m³. The density of states at the Fermi level is 9.0 states/eV per cell.

It has space group R-3m (No. 166, hexagonal axes), with a = 3.8423 Å, b = 3.8423 Å, c = 34.7044 Å, α = 90.00°, β = 90.00° and γ = 120.00°. The distinct sites, in fractional coordinates, are Ac at (0.0000, 0.0000, 0.0905), Cd at (0.0000, 0.0000, 0.5000) and Ag at (0.0000, 0.0000, 0.0000).



[19]
A relaxed structure of Ce2Rh7. Source: the Alexandria database, functional GGA-PBE.

As for the final energy: -407.45 eV/cell. The calculation puts the mass density at 10512 kg/m³. The density of states at the Fermi level is 56.4 states/eV per cell.

It has space group R-3m (No. 166, hexagonal axes), with a = 5.2474 Å, b = 5.2474 Å, c = 39.7698 Å, α = 90.00°, β = 90.00° and γ = 120.00°. The distinct sites, in fractional coordinates, are Ce at (0.0000, 0.0000, 0.0498), Ce at (0.0000, 0.0000, 0.1463), Rh at (0.0000, 0.0000, 0.2777), Rh at (0.0000, 0.0000, 0.3890), Rh at (0.0000, 0.0000, 0.5000), Rh at (0.0000, 0.5000, 0.0000) and Rh at (0.0024, 0.5012, 0.8889).



[20]
A relaxed structure of Cd2MoIr. Source: the Alexandria database, functional GGA-PBE.

The calculation puts the offset from the most stable computed form at 353 meV/atom. As for the final energy: -40.11 eV/cell. The calculation puts the mass density at 12106 kg/m³. The density of states at the Fermi level is 6.3 states/eV per cell.

It has space group Immm (No. 71), with a = 2.888 Å, b = 4.856 Å, c = 10.034 Å, α = 90.00°, β = 90.00° and γ = 90.00°. The distinct sites, in fractional coordinates, are Cd at (0.000, 0.000, 0.240), Mo at (0.000, 0.500, 0.000) and Ir at (0.000, 0.500, 0.500).



[21]
A relaxed structure of Ba2ScNbSn. Source: the Alexandria database, functional GGA-PBE.

The calculation puts the offset from the most stable computed form at 208 meV/atom. As for the final energy: -20.04 eV/cell. The calculation puts the mass density at 4517 kg/m³. The density of states at the Fermi level is 5.1 states/eV per cell.

It has space group P4/mmm (No. 123), with a = 6.401 Å, b = 6.401 Å, c = 4.765 Å, α = 90.00°, β = 90.00° and γ = 90.00°. The distinct sites, in fractional coordinates, are Ba at (0.000, 0.500, 0.000), Sc at (0.000, 0.000, 0.000), Nb at (0.000, 0.000, 0.500) and Sn at (0.500, 0.500, 0.500).



[22]
A relaxed structure of La2SbBr2. Source: the Alexandria database, functional GGA-PBE.

As for the final energy: -46.87 eV/cell. The calculation puts the mass density at 5735 kg/m³. The density of states at the Fermi level is 4.6 states/eV per cell.

It has space group I4/mmm (No. 139), with a = 5.575 Å, b = 5.575 Å, c = 10.421 Å, α = 90.00°, β = 90.00° and γ = 90.00°. The distinct sites, in fractional coordinates, are La at (0.000, 0.500, 0.250), Sb at (0.000, 0.000, 0.000) and Br at (0.000, 0.000, 0.351).



[23]
A relaxed structure of CuPd3Cl. Source: the Alexandria database, functional GGA-PBE.

The calculation puts the offset from the most stable computed form at 243 meV/atom. As for the final energy: -17.63 eV/cell. The calculation puts the mass density at 6822 kg/m³. The density of states at the Fermi level is 5.4 states/eV per cell.

It has space group Pm-3m (No. 221), with a = 4.669 Å, b = 4.669 Å, c = 4.669 Å, α = 90.00°, β = 90.00° and γ = 90.00°. The distinct sites, in fractional coordinates, are Cu at (0.000, 0.000, 0.000), Pd at (0.000, 0.000, 0.500) and Cl at (0.500, 0.500, 0.500).



[24]
A relaxed structure of In2Sn2Br7. Source: the Alexandria database, functional GGA-PBE.

As for the final energy: -63.86 eV/cell. The calculation puts the mass density at 4294 kg/m³. The density of states at the Fermi level is 17.0 states/eV per cell.

It has space group Cmmm (No. 65), with a = 9.625 Å, b = 11.022 Å, c = 7.483 Å, α = 90.00°, β = 90.00° and γ = 90.00°. The distinct sites, in fractional coordinates, are In at (0.238, 0.000, 0.000), Sn at (0.000, 0.238, 0.500), Br at (0.000, 0.000, 0.253), Br at (0.000, 0.500, 0.500) and Br at (0.250, 0.250, 0.240).



[25]
A relaxed structure of Y6ZnCu5. Source: the Alexandria database, functional GGA-PBE.

As for the final energy: -127.35 eV/cell. The calculation puts the mass density at 5922 kg/m³. The density of states at the Fermi level is 14.1 states/eV per cell.

It has space group Cmmm (No. 65), with a = 4.959 Å, b = 14.860 Å, c = 6.975 Å, α = 90.00°, β = 90.00° and γ = 90.00°. The distinct sites, in fractional coordinates, are Y at (0.000, 0.000, 0.245), Y at (0.000, 0.331, 0.248), Zn at (0.000, 0.500, 0.500), Cu at (0.000, 0.163, 0.500), Cu at (0.000, 0.167, 0.000) and Cu at (0.000, 0.500, 0.000).